[1]
Density functional theory data (PBE-GGA) for crystalline YMnTl2P at its relaxed geometry.

As for the crystal system: tetragonal.

The structure belongs to space group P4/mmm (No. 123); the cell edges are 5.3605, 5.3605 and 5.2190 Å and the angles 90.00°, 90.00° and 90.00°. The asymmetric unit holds Y at (0.0000, 0.0000, 0.0000), Mn at (0.5000, 0.5000, 0.0000), Tl at (0.0000, 0.5000, 0.5000) and P at (0.0000, 0.0000, 0.5000).

***

[2]
Density functional theory data (PBE-GGA) for crystalline TbCd5Ag7 at its relaxed geometry.

As for the crystal system: orthorhombic.

The structure belongs to space group Imm2 (No. 44); the cell edges are 5.6535, 9.7569 and 9.7248 Å and the angles 90.00°, 90.00° and 90.00°. The asymmetric unit holds Tb at (0.0000, 0.0000, 0.0000), Cd at (0.0000, 0.5000, 0.2826), Cd at (0.2501, 0.2452, 0.2389), Ag at (0.0000, 0.0000, 0.3467), Ag at (0.0000, 0.0000, 0.6506), Ag at (0.0000, 0.2838, 0.4890), Ag at (0.0000, 0.3491, 0.9892) and Ag at (0.0000, 0.5000, 0.6952).

***

no.,DFT formation energy (eV/atom),magnetic moment (μB per atom)
1,0.455,0.84
2,-0.059,0.00